A relaxed Zn3CuAu4 crystal. Source: Alexandria, functional GGA-PBE.

E ... -0.206 Ry per atom
N(E_F) ... 0.33 states/eV/atom

a b c (Å): 4.3613 4.3556 9.6542
angles (deg): 132.93 103.05 90.00
Closest atoms and distances in Å follow each position.
Positions (direct):
Zn 0.0000 0.5000 0.0000  8 Au 2.74-2.75
Zn 0.2522 0.2572 0.5044  8 Au 2.73-2.79
Zn 0.7478 0.7428 0.4956  8 Au 2.73-2.79
Cu 0.5000 0.0000 0.0000  8 Au 2.74-2.75
Au 0.6242 0.8727 0.2485  6 Zn 2.73-2.78, 2 Cu 2.74-2.75
Au 0.3758 0.1273 0.7515  6 Zn 2.73-2.78, 2 Cu 2.74-2.75
Au 0.8760 0.6268 0.7520  6 Zn 2.74-2.79, 2 Cu 2.75
Au 0.1240 0.3732 0.2480  6 Zn 2.74-2.79, 2 Cu 2.75